1.
VASP calculation (GGA-PBE) on CuC2Se after structural relaxation.

Structure (POSCAR):
```
CuC2Se
1.0
4.6597 0.0000 0.0000
0.0000 4.6597 0.0000
2.3299 2.3299 4.5122
Cu Se C
2 2 4
Direct
0.5000 0.5000 0.0000 Cu
0.2500 0.7500 0.5000 Cu
0.7500 0.2500 0.5000 Se
0.0000 0.0000 0.0000 Se
0.6249 0.1250 0.2500 C
0.3750 0.3751 0.7500 C
0.1251 0.6250 0.2500 C
0.8750 0.8749 0.7500 C
```

Summary:
V	12.25	A^3/atom

***

2.
VASP calculation (GGA-PBE) on Cu3CSe after structural relaxation.

Structure (POSCAR):
```
Cu3CSe
1.0
-3.7591 -0.0505 -1.3791
1.0537 -2.6892 -2.7737
-0.8912 -2.9667 2.5377
Cu C Se
3 1 1
Direct
0.5000 0.0000 0.0000 Cu
0.0000 0.0000 0.5000 Cu
0.0000 0.5000 0.0000 Cu
0.0000 0.0000 0.0000 C
0.5000 0.5000 0.5000 Se
```

Summary:
distance to the lowest polymorph of the same formula	0	meV/atom
V	12.84	A^3/atom

***

3.
VASP calculation (GGA-PBE) on Cu2CSe after structural relaxation.

Structure (POSCAR):
```
Cu2CSe
1.0
-0.8908 -3.1023 2.8928
0.4662 -3.0096 -3.0840
5.7400 -3.5115 1.2488
Se Cu C
2 4 2
Direct
0.7500 0.2500 0.5000 Se
0.0000 0.0000 0.0000 Se
0.5123 0.1250 0.2500 Cu
0.8750 0.7623 0.7500 Cu
0.2377 0.6250 0.2500 Cu
0.3750 0.4877 0.7500 Cu
0.2500 0.7500 0.5000 C
0.5000 0.5000 0.0000 C
```

Summary:
distance to the lowest polymorph of the same formula	0	meV/atom
V	14.37	A^3/atom

***

Respective M_tot values: 0.00, 0.00, 0.00 μB per atom.
Respective uncorrected energy values: -40.3, -22.1, -35.8 eV for the cell shown.